An optimized crystal structure of TiV2SbC, computed with PBE.

Values from the calculation:
density of states at the Fermi level	1.2849	states/eV per atom
total magnetic moment	0.00	μB per formula unit
formation energy from raw total energies	-0.28	eV/atom
symmetry	P4/mmm, No. 123

Lattice parameters (Å, degrees): 4.0303 4.0303 4.3292 90.00 90.00 90.00
Last column: nearest neighbours and their distance in Å.
Fractional positions:
1 Sb 0.5000 0.5000 0.5000  4 Ti 2.85, 8 V 2.96
2 C 0.0000 0.0000 0.0000  4 V 2.02, 2 Ti 2.16
3 Ti 0.0000 0.0000 0.5000  2 C 2.16
4 V 0.0000 0.5000 0.0000  2 C 2.02
5 V 0.5000 0.0000 0.0000  2 C 2.02